# LuGaPd PBE relaxed
data_LuGaPd
_chemical_formula_sum 'Lu4 Ga4 Pd4'
_cell_length_a 6.696
_cell_length_b 4.434
_cell_length_c 7.670
_cell_angle_alpha 90.00
_cell_angle_beta 90.00
_cell_angle_gamma 90.00
_space_group_name_H-M_alt 'P 1'
_space_group_IT_number 1
loop_
_space_group_symop_operation_xyz
'x,y,z'
loop_
_atom_site_label
_atom_site_type_symbol
_atom_site_fract_x
_atom_site_fract_y
_atom_site_fract_z
Lu1 Lu 0.016 0.250 0.202
Lu2 Lu 0.484 0.750 0.702
Lu3 Lu 0.516 0.250 0.298
Lu4 Lu 0.984 0.750 0.798
Ga1 Ga 0.179 0.250 0.575
Ga2 Ga 0.321 0.750 0.075
Ga3 Ga 0.679 0.250 0.925
Ga4 Ga 0.821 0.750 0.425
Pd1 Pd 0.228 0.750 0.402
Pd2 Pd 0.272 0.250 0.902
Pd3 Pd 0.728 0.750 0.098
Pd4 Pd 0.772 0.250 0.598
# E   -61.7 eV for the cell shown
# Formation energy from the elements   -0.89 eV/atom